Entry 1:
First-principles (PBE) data for K2AsIr after structural relaxation, as listed in the Alexandria database.

a b c (Å): 6.0363 6.0363 2.8846
angles (deg): 89.99 89.99 122.64
Last column: nearest neighbours and their distance in Å.
Positions (direct):
As (0.5000, 0.0000, 0.5000)  2 As 2.88, 2 Ir 2.90
Ir (0.0000, 0.5000, 0.5000)  2 Ir 2.88, 2 As 2.90
K (0.0000, 0.0000, 0.0000)  4 K 2.88-2.90
K (0.5000, 0.5000, 0.0000)  4 K 2.88-2.90

Calculated values
energy relative to the elements = 1.87 eV/f.u.
DOS at the Fermi energy = 3.5 states/eV per cell
E_tot = -0.127 Ha/atom

Entry 2:
First-principles (PBE) data for KAsIr2 after structural relaxation, as listed in the Alexandria database.

a b c (Å): 4.3028 4.3028 6.6137
angles (deg): 71.04 71.04 59.76
Last column: nearest neighbours and their distance in Å.
Positions (direct):
As (0.7500, 0.7500, 0.7500)  6 Ir 2.52-2.53
Ir (0.0585, 0.0585, 0.8257)  3 As 2.52-2.53, 3 Ir 2.65
Ir (0.4415, 0.4415, 0.6743)  3 As 2.52-2.53, 3 Ir 2.65
K (0.2500, 0.2500, 0.2500)  8 Ir 3.53-3.60, 6 As 3.94-3.95

Calculated values
energy relative to the elements = 0.76 eV/f.u.
DOS at the Fermi energy = 5.2 states/eV per cell
E_tot = -0.209 Ha/atom

Entry 3:
First-principles (PBE) data for KAsIr2 after structural relaxation, as listed in the Alexandria database.

a b c (Å): 2.7994 4.1093 7.1974
angles (deg): 90.00 90.00 90.00
Last column: nearest neighbours and their distance in Å.
Positions (direct):
As (0.5000, 0.5000, 0.8227)  1 Ir 2.40
Ir (0.0000, 0.0000, 0.0249)  6 Ir 2.66-2.80, 4 As 2.88
Ir (0.5000, 0.5000, 0.1567)  1 As 2.40, 4 Ir 2.66
K (0.0000, 0.0000, 0.4957)  2 K 2.80

Calculated values
energy relative to the elements = 1.06 eV/f.u.
DOS at the Fermi energy = 4.4 states/eV per cell
E_tot = -0.206 Ha/atom

Entry 4:
First-principles (PBE) data for KAsIr after structural relaxation, as listed in the Alexandria database.

a b c (Å): 4.5808 4.5808 4.5808
angles (deg): 60.00 60.00 60.00
Last column: nearest neighbours and their distance in Å.
Positions (direct):
As (0.5000, 0.5000, 0.5000)  4 Ir 2.81
Ir (0.7500, 0.7500, 0.7500)  4 K 2.81, 4 As 2.81
K (0.0000, 0.0000, 0.0000)  4 Ir 2.81

Calculated values
energy relative to the elements = 1.99 eV/f.u.
DOS at the Fermi energy = 2.0 states/eV per cell
E_tot = -0.155 Ha/atom